Below is crystalline LaHPt3 at its relaxed geometry, with properties calculated at the PBEsol level.

Summary:
- Space-group type: Pm-3m (221)
- E: -6.505 eV per atom
- E above lowest polymorph: 0 meV/atom
- Theoretical density: 16.0 g/cm3

Cell: 4.2188 4.2188 4.2188 Å, 90.00 90.00 90.00°
Closest atoms and distances in Å follow each position.
Element x y z (fractional)
Pt (0.5000, 0.0000, 0.0000)  2 H 2.11
Pt (0.0000, 0.5000, 0.0000)  2 H 2.11
Pt (0.0000, 0.0000, 0.5000)  2 H 2.11
H (0.0000, 0.0000, 0.0000)  6 Pt 2.11
La (0.5000, 0.5000, 0.5000)  12 Pt 2.98

Below is crystalline ZnTc5 at its relaxed geometry, with properties calculated at the PBEsol level.

Summary:
- Space-group type: P-62m (189)
- E: -9.633 eV per atom
- E above lowest polymorph: 0 meV/atom
- Energy of formation from the pure elements: 0.45 kcal/mol of atoms
- Theoretical density: 11.2 g/cm3

Cell: 4.3759 4.6647 4.6647 Å, 120.00 90.00 90.00°
Closest atoms and distances in Å follow each position.
Element x y z (fractional)
Tc (0.0000, 0.0000, 0.6734)  10 Tc 2.64-2.72, 2 Zn 2.67
Tc (0.0000, 0.3266, 0.3266)  10 Tc 2.64-2.72, 2 Zn 2.67
Tc (0.5000, 0.3333, 0.6667)  3 Zn 2.69, 9 Tc 2.69
Tc (0.5000, 0.6667, 0.3333)  3 Zn 2.69, 9 Tc 2.69
Tc (0.0000, 0.6734, 0.0000)  10 Tc 2.64-2.72, 2 Zn 2.67
Zn (0.5000, 0.0000, 0.0000)  12 Tc 2.67-2.69

Below is crystalline In2Ir at its relaxed geometry, with properties calculated at the PBEsol level.

Summary:
- Space-group type: Fddd (70)
- E: -5.444 eV per atom
- Energy of formation from the pure elements: -4.18 kcal/mol of atoms
- Theoretical density: 12.0 g/cm3

Cell: 5.3192 5.5693 9.3877 Å, 82.22 73.54 61.48°
Closest atoms and distances in Å follow each position.
Element x y z (fractional)
Ir (0.3807, 0.5000, 0.2387)  8 In 2.69-2.85, 2 Ir 2.79
Ir (0.6307, 0.0000, 0.7387)  8 In 2.69-2.85, 2 Ir 2.79
Ir (0.1193, 0.5000, 0.7613)  8 In 2.69-2.85, 2 Ir 2.79
Ir (0.3693, 0.0000, 0.2613)  8 In 2.69-2.85, 2 Ir 2.79
In (0.8351, 0.5000, 0.3299)  4 Ir 2.78-2.85, 1 In 3.06
In (0.0941, 0.8118, 0.5000)  4 Ir 2.69-2.80
In (0.4059, 0.1882, 0.5000)  4 Ir 2.69-2.80
In (0.6559, 0.6882, 0.0000)  4 Ir 2.69-2.80
In (0.0851, 0.0000, 0.8299)  4 Ir 2.78-2.85, 1 In 3.06
In (0.3441, 0.3118, 0.0000)  4 Ir 2.69-2.80
In (0.6649, 0.5000, 0.6701)  4 Ir 2.78-2.85, 1 In 3.06
In (0.9149, 0.0000, 0.1701)  4 Ir 2.78-2.85, 1 In 3.06

Below is crystalline MgSn2Pb2 at its relaxed geometry, with properties calculated at the PBEsol level.

Summary:
- Space-group type: P4/mbm (127)
- E: -3.628 eV per atom
- E above lowest polymorph: 0 meV/atom
- Energy of formation from the pure elements: 0.44 kcal/mol of atoms
- Theoretical density: 7.9 g/cm3

Cell: 4.8953 7.6071 7.6071 Å, 90.00 90.00 90.00°
Closest atoms and distances in Å follow each position.
Element x y z (fractional)
Pb (0.5000, 0.8221, 0.3221)  6 Sn 3.18-3.42
Pb (0.5000, 0.1779, 0.6779)  6 Sn 3.18-3.42
Pb (0.5000, 0.6779, 0.8221)  6 Sn 3.18-3.42
Pb (0.5000, 0.3221, 0.1779)  6 Sn 3.18-3.42
Sn (0.0000, 0.8661, 0.6339)  1 Sn 2.88, 2 Mg 2.97, 2 Pb 3.18
Sn (0.0000, 0.3661, 0.8661)  1 Sn 2.88, 2 Mg 2.97, 2 Pb 3.18
Sn (0.0000, 0.1339, 0.3661)  1 Sn 2.88, 2 Mg 2.97, 2 Pb 3.18
Sn (0.0000, 0.6339, 0.1339)  1 Sn 2.88, 2 Mg 2.97, 2 Pb 3.18
Mg (0.0000, 0.0000, 0.0000)  4 Sn 2.97
Mg (0.0000, 0.5000, 0.5000)  4 Sn 2.97